First-principles (GGA+U) data for crystalline Li4Mn3O7 at its relaxed geometry, as listed in Alexandria via LeMat-Bulk.

Computed properties:
The value obtained for the polymorph energy (0 for the lowest one) is 17 meV per atom. The space group is C2/m (12).

Cell lengths 7.7946, 7.7946, 13.6350 Å; angles 60.73, 60.73, 21.27 degrees
With the nearest neighbours (Å) after each atom.
Positions (direct):
Li  0.9265  0.9265  0.3428  5 O 2.09-2.15
Li  0.6396  0.6396  0.8086  5 O 2.10-2.17
Li  0.3604  0.3604  0.1914  5 O 2.10-2.17
Li  0.5000  0.5000  0.5000  4 O 2.11
Li  0.2078  0.2078  0.9359  4 O 2.00-2.17
Li  0.0735  0.0735  0.6572  5 O 2.09-2.15
Li  0.7922  0.7922  0.0641  4 O 2.00-2.17
Li  0.0000  0.0000  0.0000  6 O 2.06-2.15
Mn  0.5703  0.5703  0.1277  5 O 1.83-1.95
Mn  0.4297  0.4297  0.8723  5 O 1.83-1.95
Mn  0.2873  0.2873  0.5738  4 O 1.96-1.97
Mn  0.7127  0.7127  0.4262  4 O 1.96-1.97
Mn  0.1421  0.1421  0.2751  5 O 1.96-2.19
Mn  0.8579  0.8579  0.7249  5 O 1.96-2.19
O  0.9726  0.9726  0.1706  2 Mn 1.94, 4 Li 2.09-2.15
O  0.6892  0.6892  0.6076  2 Mn 1.96, 2 Li 2.12
O  0.3954  0.3954  0.0214  1 Mn 1.83, 2 Li 2.00
O  0.5448  0.5448  0.2992  3 Mn 1.98-2.17, 2 Li 2.15
O  0.2604  0.2604  0.7561  2 Mn 1.96, 3 Li 2.17
O  0.1134  0.1134  0.4596  2 Mn 1.97, 2 Li 2.11
O  0.8351  0.8351  0.8966  2 Mn 1.95, 1 Li 2.04
O  0.8866  0.8866  0.5404  2 Mn 1.97, 2 Li 2.11
O  0.6046  0.6046  0.9786  1 Mn 1.83, 2 Li 2.00
O  0.3108  0.3108  0.3924  2 Mn 1.96, 2 Li 2.12
O  0.4552  0.4552  0.7008  3 Mn 1.98-2.17, 2 Li 2.15
O  0.1649  0.1649  0.1034  2 Mn 1.95, 1 Li 2.04
O  0.0274  0.0274  0.8294  2 Mn 1.94, 4 Li 2.09-2.15
O  0.7396  0.7396  0.2439  2 Mn 1.96, 3 Li 2.17